Entry 1:
Compound: HfTcHg2
Source: OQMD
Functional: PBE
Structure: optimized geometry

Cell: 4.754 4.754 4.754 Å, 60.00 60.00 60.00°
Fractional positions:
1 Tc 0.000 0.000 0.000
2 Hg 0.500 0.500 0.500
3 Hg 0.750 0.750 0.750
4 Hf 0.250 0.250 0.250

Properties
Formation enthalpy at 0 K, eV/atom: 0.37
Space group: F-43m, No. 216
Excess energy over the best structure of this formula in the dataset, meV/atom: 2

=====

Entry 2:
Compound: Cs2AgBr3
Source: OQMD
Functional: PBE
Structure: optimized geometry

Cell: 13.931 4.773 14.461 Å, 90.00 90.00 90.00°
Fractional positions:
1 Cs 0.828 0.750 0.518
2 Cs 0.172 0.250 0.482
3 Br 0.776 0.250 0.712
4 Cs 0.511 0.250 0.674
5 Ag 0.245 0.750 0.697
6 Br 0.442 0.250 0.141
7 Br 0.558 0.750 0.859
8 Ag 0.255 0.250 0.197
9 Cs 0.011 0.250 0.826
10 Br 0.224 0.750 0.288
11 Br 0.636 0.250 0.451
12 Br 0.942 0.250 0.359
13 Ag 0.755 0.250 0.303
14 Br 0.058 0.750 0.641
15 Cs 0.489 0.750 0.326
16 Br 0.276 0.250 0.788
17 Br 0.136 0.250 0.049
18 Br 0.364 0.750 0.549
19 Br 0.724 0.750 0.212
20 Br 0.864 0.750 0.951
21 Cs 0.989 0.750 0.174
22 Ag 0.745 0.750 0.803
23 Cs 0.328 0.750 0.982
24 Cs 0.672 0.250 0.018

Properties
Final energy, eV/f.u.: -17.5
Space group: Pnma, No. 62

=====

Entry 3:
Compound: DyTcHg
Source: OQMD
Functional: PBE
Structure: optimized geometry

Cell: 4.765 4.765 4.765 Å, 60.00 60.00 60.00°
Fractional positions:
1 Hg 0.250 0.250 0.250
2 Tc 0.750 0.750 0.750
3 Dy 0.000 0.000 0.000

Properties
Formation enthalpy at 0 K, eV/atom: 0.92
Space group: F-43m, No. 216
Excess energy over the best structure of this formula in the dataset, meV/atom: 769

=====

Entry 4:
Compound: ZnSnB4
Source: OQMD
Functional: PBE
Structure: optimized geometry

Cell: 3.074 3.074 8.106 Å, 90.00 90.00 120.00°
Fractional positions:
1 B 0.667 0.333 0.793
2 B 0.333 0.667 0.793
3 Sn 0.000 0.000 0.500
4 Zn 0.000 0.000 0.000
5 B 0.667 0.333 0.207
6 B 0.333 0.667 0.207

Properties
Space group: P6/mmm, No. 191
Excess energy over the best structure of this formula in the dataset, meV/atom: 0

=====

Entry 5:
Compound: GeAsPtO
Source: OQMD
Functional: PBE
Structure: optimized geometry

Cell: 3.244 6.762 6.828 Å, 90.00 90.00 90.00°
Fractional positions:
1 Pt 0.500 0.260 0.073
2 Ge 0.000 0.801 0.953
3 As 0.000 0.842 0.343
4 O 0.500 0.660 0.886
5 As 0.000 0.158 0.843
6 Pt 0.500 0.740 0.573
7 Ge 0.000 0.199 0.453
8 O 0.500 0.340 0.386

Properties
Space group: Pmc2_1, No. 26
Excess energy over the best structure of this formula in the dataset, meV/atom: 257

=====

Entry 6:
Compound: GdLu2Hg
Source: OQMD
Functional: PBE
Structure: optimized geometry

Cell: 5.583 6.674 6.674 Å, 117.32 90.00 90.00°
Fractional positions:
1 Gd 0.750 0.609 0.363
2 Lu 0.250 0.875 0.689
3 Lu 0.750 0.689 0.875
4 Hg 0.750 0.113 0.353
5 Lu 0.250 0.833 0.165
6 Lu 0.750 0.165 0.833
7 Hg 0.250 0.353 0.113
8 Gd 0.250 0.363 0.609

Properties
Formation enthalpy at 0 K, eV/atom: -0.14
Space group: Ama2, No. 40
Excess energy over the best structure of this formula in the dataset, meV/atom: 22

=====

Entry 7:
Compound: Y4Lu2Cd3N3
Source: OQMD
Functional: PBE
Structure: optimized geometry

Cell: 6.012 6.012 16.069 Å, 90.07 100.71 120.00°
Fractional positions:
1 Cd 0.834 0.278 0.250
2 Y 0.392 0.867 0.088
3 Y 0.055 0.193 0.088
4 Cd 0.862 0.112 0.750
5 N 0.338 0.176 0.000
6 Lu 0.948 0.644 0.422
7 Cd 0.138 0.888 0.250
8 N 0.000 0.500 0.000
9 Lu 0.052 0.356 0.578
10 Y 0.605 0.967 0.412
11 N 0.662 0.824 0.000
12 Y 0.395 0.033 0.588
13 N 0.676 0.338 0.500
14 Cd 0.472 0.417 0.750
15 Cd 0.166 0.722 0.750
16 N 0.000 0.000 0.500
17 Lu 0.277 0.474 0.922
18 Y 0.945 0.807 0.912
19 Lu 0.723 0.526 0.078
20 Cd 0.528 0.583 0.250
21 Y 0.721 0.696 0.588
22 Y 0.608 0.133 0.912
23 N 0.324 0.662 0.500
24 Y 0.279 0.304 0.412

Properties
Final energy, eV/f.u.: -73.8
Space group: C2/c, No. 15

=====

Entry 8:
Compound: NdSm3Se3O4
Source: OQMD
Functional: PBE
Structure: optimized geometry

Cell: 8.390 6.691 6.691 Å, 34.39 90.00 90.00°
Fractional positions:
1 Se 0.350 0.356 0.356
2 O 0.246 0.088 0.088
3 Se 0.650 0.356 0.356
4 O 0.500 0.616 0.616
5 Se 0.000 0.311 0.311
6 Sm 0.238 0.682 0.682
7 O 0.000 0.589 0.589
8 Sm 0.762 0.682 0.682
9 Sm 0.500 0.018 0.018
10 O 0.754 0.088 0.088
11 Nd 0.000 0.998 0.998

Properties
Final energy, eV/f.u.: -79.7
Space group: Amm2, No. 38

=====

Entry 9:
Compound: Li3Au
Source: OQMD
Functional: PBE
Structure: optimized geometry

Cell: 7.595 7.595 7.857 Å, 90.01 90.01 59.99°
Fractional positions:
1 Li 0.667 0.667 0.341
2 Au 0.344 0.000 0.250
3 Au 0.656 0.000 0.750
4 Li 0.000 0.000 0.750
5 Li 0.333 0.333 0.659
6 Au 0.000 0.344 0.750
7 Au 0.656 0.344 0.250
8 Li 0.946 0.362 0.082
9 Li 0.362 0.692 0.082
10 Li 0.308 0.638 0.418
11 Li 0.638 0.054 0.418
12 Li 0.000 0.000 0.250
13 Li 0.692 0.946 0.082
14 Li 0.638 0.308 0.918
15 Li 0.054 0.308 0.418
16 Li 0.692 0.362 0.582
17 Li 0.667 0.667 0.841
18 Li 0.362 0.946 0.582
19 Li 0.946 0.692 0.582
20 Li 0.054 0.638 0.918
21 Au 0.000 0.656 0.250
22 Li 0.308 0.054 0.918
23 Au 0.344 0.656 0.750
24 Li 0.333 0.333 0.159

Properties
Final energy, eV/f.u.: -10.5
Space group: P-3c1, No. 165

=====

Entry 10:
Compound: ZrCd2Co
Source: OQMD
Functional: PBE
Structure: optimized geometry

Cell: 4.657 4.657 4.657 Å, 60.00 60.00 60.00°
Fractional positions:
1 Cd 0.750 0.750 0.750
2 Cd 0.000 0.000 0.000
3 Co 0.250 0.250 0.250
4 Zr 0.500 0.500 0.500

Properties
Formation enthalpy at 0 K, eV/atom: 0.08
Space group: F-43m, No. 216

=====

Entry 11:
Compound: NaScAu
Source: OQMD
Functional: PBE
Structure: optimized geometry

Cell: 4.690 4.690 4.690 Å, 60.00 60.00 60.00°
Fractional positions:
1 Sc 0.000 0.000 0.000
2 Na 0.750 0.750 0.750
3 Au 0.250 0.250 0.250

Properties
Space group: F-43m, No. 216
Excess energy over the best structure of this formula in the dataset, meV/atom: 0

=====

Entry 12:
Compound: BeTePdO
Source: OQMD
Functional: PBE
Structure: optimized geometry

Cell: 5.944 12.998 7.359 Å, 90.00 90.00 90.00°
Fractional positions:
1 Te 0.000 0.001 0.251
2 Be 0.500 0.267 0.750
3 Pd 0.252 0.401 0.001
4 Pd 0.748 0.901 0.499
5 Pd 0.752 0.401 0.499
6 Pd 0.248 0.599 0.501
7 O 0.250 0.751 0.737
8 Te 0.000 0.999 0.749
9 O 0.250 0.251 0.737
10 Te 0.500 0.501 0.251
11 Be 0.500 0.733 0.250
12 O 0.750 0.249 0.263
13 O 0.250 0.249 0.237
14 Te 0.500 0.499 0.749
15 Te 0.500 0.999 0.751
16 Be 0.000 0.767 0.750
17 O 0.750 0.251 0.763
18 O 0.750 0.749 0.263
19 Pd 0.252 0.099 0.501
20 Be 0.500 0.767 0.750
21 Pd 0.752 0.099 0.999
22 Pd 0.248 0.901 0.001
23 Te 0.500 0.001 0.249
24 Pd 0.748 0.599 0.999
25 Be 0.000 0.233 0.250
26 Te 0.000 0.501 0.249
27 O 0.750 0.751 0.763
28 Te 0.000 0.499 0.751
29 Be 0.500 0.233 0.250
30 Be 0.000 0.733 0.250
31 Be 0.000 0.267 0.750
32 O 0.250 0.749 0.237

Properties
Space group: Pbca, No. 61
Excess energy over the best structure of this formula in the dataset, meV/atom: 503